# PBE EuPuPtAu, optimized geometry
data_EuPuPtAu
_symmetry_space_group_name_H-M 'F -4 3 m'
_symmetry_Int_Tables_number 216
_symmetry_space_group_name_Hall 'F -4 2 3'
_cell_length_a 7.234
_cell_length_b 7.234
_cell_length_c 7.234
_cell_angle_alpha 90.00
_cell_angle_beta 90.00
_cell_angle_gamma 90.00
loop_
_atom_site_label
_atom_site_type_symbol
_atom_site_fract_x
_atom_site_fract_y
_atom_site_fract_z
Eu1 Eu 0.000 0.000 0.000
Pu1 Pu 0.000 0.000 0.500
Pt1 Pt 0.250 0.250 0.750
Au1 Au 0.250 0.250 0.250
# - DFT total energy: -0.6725 Ry/atom
# - E_form: -668 meV/atom